The following is a PBE calculation of a relaxed Ta2OsBr crystal, from the Alexandria database.

The structure in POSCAR format:
```
Ta2OsBr
1.0
2.934 -4.015 0.000
2.934 4.015 0.000
-0.709 0.000 2.938
Ta Os Br
2 1 1
Cartesian
1.467 2.007 0.000
1.467 -2.007 0.000
-0.355 0.000 1.469
2.579 0.000 1.469
```

Values from the calculation:
* offset from the most stable computed form: 441 meV per atom
* space group: C2/m
* formation energy without anion corrections: 581.8 meV/atom
* size of the total moment: 0.0 μB per formula unit